Entry 1:
The following is a DFT calculation (PBE-GGA) of a relaxed structure of LiTm3Mg6.

Structure (CIF):
```
data_LiTm3Mg6
_chemical_formula_sum 'Li2 Tm6 Mg12'
_symmetry_space_group_name_H-M 'P 1 21/m 1'
_symmetry_Int_Tables_number 11
_cell_length_a 8.6570
_cell_length_b 5.3182
_cell_length_c 11.5540
_cell_angle_alpha 90.00
_cell_angle_beta 109.96
_cell_angle_gamma 90.00
loop_
_symmetry_equiv_pos_as_xyz
'x,y,z'
'-x,-y,-z'
'-x,y+1/2,-z'
'x,-y+1/2,z'
loop_
_atom_site_label
_atom_site_type_symbol
_atom_site_fract_x
_atom_site_fract_y
_atom_site_fract_z
_atom_site_occupancy
Li1 Li 0.0080 0.2500 0.3386 1
Tm1 Tm 0.1787 0.2500 0.1227 1
Tm2 Tm 0.3946 0.7500 0.7644 1
Tm3 Tm 0.3978 0.7500 0.2739 1
Mg1 Mg 0.0150 0.2500 0.8189 1
Mg2 Mg 0.1914 0.2500 0.6232 1
Mg3 Mg 0.1959 0.7500 0.4696 1
Mg4 Mg 0.2126 0.7500 0.9719 1
Mg5 Mg 0.3908 0.2500 0.4296 1
Mg6 Mg 0.4012 0.2500 0.9330 1
```

---

Entry 2:
The following is a DFT calculation (PBE-GGA) of a relaxed structure of LiTm6Mg5.

Structure (CIF):
```
data_LiTm6Mg5
_chemical_formula_sum 'Li1 Tm6 Mg5'
_symmetry_space_group_name_H-M 'P 1 2/m 1'
_symmetry_Int_Tables_number 10
_cell_length_a 5.3069
_cell_length_b 7.4337
_cell_length_c 8.3887
_cell_angle_alpha 90.00
_cell_angle_beta 108.32
_cell_angle_gamma 90.00
loop_
_symmetry_equiv_pos_as_xyz
'x,y,z'
'-x,-y,-z'
'-x,y,-z'
'x,-y,z'
loop_
_atom_site_label
_atom_site_type_symbol
_atom_site_fract_x
_atom_site_fract_y
_atom_site_fract_z
_atom_site_occupancy
Li1 Li 0.0000 0.0000 0.0000 1
Tm1 Tm 0.1658 0.2499 0.3305 1
Tm2 Tm 0.5000 0.2489 0.0000 1
Mg1 Mg 0.0000 0.5000 0.0000 1
Mg2 Mg 0.3303 0.0000 0.6620 1
Mg3 Mg 0.3311 0.5000 0.6647 1
```

---

Entry 3:
The following is a DFT calculation (PBE-GGA) of a relaxed structure of Li2TmMg2.

Structure (CIF):
```
data_Li2TmMg2
_chemical_formula_sum 'Li4 Tm2 Mg4'
_symmetry_space_group_name_H-M 'I 4/m m m'
_symmetry_Int_Tables_number 139
_symmetry_space_group_name_Hall '-I 4 2'
_cell_length_a 4.0395
_cell_length_b 4.0395
_cell_length_c 14.6846
_cell_angle_alpha 90.00
_cell_angle_beta 90.00
_cell_angle_gamma 90.00
loop_
_atom_site_label
_atom_site_type_symbol
_atom_site_fract_x
_atom_site_fract_y
_atom_site_fract_z
_atom_site_occupancy
Li1 Li 0.0000 0.5000 0.2500 1
Tm1 Tm 0.0000 0.0000 0.0000 1
Mg1 Mg 0.0000 0.0000 0.3960 1
```

Results
Its energy above the lowest structure with this stoichiometry is 79 meV per atom.

---

Entry 4:
The following is a DFT calculation (PBE-GGA) of a relaxed structure of Li2TmMg2.

Structure (CIF):
```
data_Li2TmMg2
_chemical_formula_sum 'Li4 Tm2 Mg4'
_symmetry_space_group_name_H-M 'C m m m'
_symmetry_Int_Tables_number 65
_symmetry_space_group_name_Hall '-C 2 2'
_cell_length_a 3.5759
_cell_length_b 20.3147
_cell_length_c 3.2354
_cell_angle_alpha 90.00
_cell_angle_beta 90.00
_cell_angle_gamma 90.00
loop_
_atom_site_label
_atom_site_type_symbol
_atom_site_fract_x
_atom_site_fract_y
_atom_site_fract_z
_atom_site_occupancy
Li1 Li 0.0000 0.1983 0.0000 1
Tm1 Tm 0.0000 0.0000 0.0000 1
Mg1 Mg 0.0000 0.3885 0.5000 1
```

Results
Its energy above the lowest structure with this stoichiometry is 0 meV per atom.

---

Entry 5:
The following is a DFT calculation (PBE-GGA) of a relaxed structure of LiTm2Mg8.

Structure (CIF):
```
data_LiTm2Mg8
_chemical_formula_sum 'Li1 Tm2 Mg8'
_symmetry_space_group_name_H-M 'P 4/m m m'
_symmetry_Int_Tables_number 123
_symmetry_space_group_name_Hall '-P 4 2'
_cell_length_a 4.5782
_cell_length_b 4.5782
_cell_length_c 12.8873
_cell_angle_alpha 90.00
_cell_angle_beta 90.00
_cell_angle_gamma 90.00
loop_
_atom_site_label
_atom_site_type_symbol
_atom_site_fract_x
_atom_site_fract_y
_atom_site_fract_z
_atom_site_occupancy
Li1 Li 0.0000 0.0000 0.0000 1
Tm1 Tm 0.0000 0.0000 0.3136 1
Mg1 Mg 0.0000 0.5000 0.1316 1
Mg2 Mg 0.0000 0.5000 0.5000 1
Mg3 Mg 0.5000 0.5000 0.3145 1
```

Results
Its energy above the lowest structure with this stoichiometry is 27 meV per atom.

---

Entry 6:
The following is a DFT calculation (PBE-GGA) of a relaxed structure of Li4TmMg15.

Structure (CIF):
```
data_Li4TmMg15
_chemical_formula_sum 'Li4 Tm1 Mg15'
_symmetry_space_group_name_H-M 'P 4/m m m'
_symmetry_Int_Tables_number 123
_symmetry_space_group_name_Hall '-P 4 2'
_cell_length_a 4.4905
_cell_length_b 4.4905
_cell_length_c 22.3564
_cell_angle_alpha 90.00
_cell_angle_beta 90.00
_cell_angle_gamma 90.00
loop_
_atom_site_label
_atom_site_type_symbol
_atom_site_fract_x
_atom_site_fract_y
_atom_site_fract_z
_atom_site_occupancy
Li1 Li 0.0000 0.0000 0.0965 1
Li2 Li 0.0000 0.0000 0.2968 1
Tm1 Tm 0.0000 0.0000 0.5000 1
Mg1 Mg 0.0000 0.5000 0.0000 1
Mg2 Mg 0.0000 0.5000 0.1958 1
Mg3 Mg 0.0000 0.5000 0.3932 1
Mg4 Mg 0.5000 0.5000 0.0981 1
Mg5 Mg 0.5000 0.5000 0.2923 1
Mg6 Mg 0.5000 0.5000 0.5000 1
```

---

Entry 7:
The following is a DFT calculation (PBE-GGA) of a relaxed structure of Li3TmMg6.

Structure (CIF):
```
data_Li3TmMg6
_chemical_formula_sum 'Li6 Tm2 Mg12'
_symmetry_space_group_name_H-M 'P 1 21/m 1'
_symmetry_Int_Tables_number 11
_cell_length_a 9.0697
_cell_length_b 4.8370
_cell_length_c 10.2258
_cell_angle_alpha 90.00
_cell_angle_beta 98.50
_cell_angle_gamma 90.00
loop_
_symmetry_equiv_pos_as_xyz
'x,y,z'
'-x,-y,-z'
'-x,y+1/2,-z'
'x,-y+1/2,z'
loop_
_atom_site_label
_atom_site_type_symbol
_atom_site_fract_x
_atom_site_fract_y
_atom_site_fract_z
_atom_site_occupancy
Li1 Li 0.0517 0.2500 0.3965 1
Li2 Li 0.1556 0.7500 0.1846 1
Li3 Li 0.2476 0.2500 0.9714 1
Tm1 Tm 0.4441 0.2500 0.5970 1
Mg1 Mg 0.0316 0.7500 0.8992 1
Mg2 Mg 0.1169 0.2500 0.6933 1
Mg3 Mg 0.2212 0.7500 0.4765 1
Mg4 Mg 0.3282 0.2500 0.2763 1
Mg5 Mg 0.3369 0.7500 0.7856 1
Mg6 Mg 0.4398 0.7500 0.0879 1
```

---

Entry 8:
The following is a DFT calculation (PBE-GGA) of a relaxed structure of LiTm2Mg8.

Structure (CIF):
```
data_LiTm2Mg8
_chemical_formula_sum 'Li2 Tm4 Mg16'
_symmetry_space_group_name_H-M 'C 1 2/m 1'
_symmetry_Int_Tables_number 12
_cell_length_a 16.2690
_cell_length_b 4.8985
_cell_length_c 6.7329
_cell_angle_alpha 90.00
_cell_angle_beta 101.56
_cell_angle_gamma 90.00
loop_
_symmetry_equiv_pos_as_xyz
'x,y,z'
'-x,-y,-z'
'-x,y,-z'
'x,-y,z'
'x+1/2,y+1/2,z'
'-x+1/2,-y+1/2,-z'
'-x+1/2,y+1/2,-z'
'x+1/2,-y+1/2,z'
loop_
_atom_site_label
_atom_site_type_symbol
_atom_site_fract_x
_atom_site_fract_y
_atom_site_fract_z
_atom_site_occupancy
Li1 Li 0.0000 0.0000 0.0000 1
Tm1 Tm 0.2205 0.5000 0.6491 1
Mg1 Mg 0.0296 0.5000 0.7330 1
Mg2 Mg 0.0902 0.0000 0.4357 1
Mg3 Mg 0.1465 0.5000 0.1551 1
Mg4 Mg 0.1641 0.0000 0.8915 1
```

Results
Its energy above the lowest structure with this stoichiometry is 0 meV per atom.

---

Number 1: uncorrected energy -24.9 eV/f.u., E_form 0.000 eV/atom, total magnetic moment 0.00 μB per cell. Number 2: uncorrected energy -36.9 eV/f.u., E_form -0.019 eV/atom, total magnetic moment 0.00 μB per cell. Number 3: uncorrected energy -11.0 eV/f.u., E_form 0.095 eV/atom, total magnetic moment 0.37 μB per cell. Number 4: uncorrected energy -11.4 eV/f.u., E_form 0.017 eV/atom, total magnetic moment 0.00 μB per cell. Number 5: uncorrected energy -23.6 eV/f.u., E_form 0.006 eV/atom, total magnetic moment 0.00 μB per cell. Number 6: uncorrected energy -36.7 eV/f.u., E_form -0.033 eV/atom, total magnetic moment 0.00 μB per cell. Number 7: uncorrected energy -20.2 eV/f.u., E_form -0.040 eV/atom, total magnetic moment 0.00 μB per cell. Number 8: uncorrected energy -23.9 eV/f.u., E_form -0.022 eV/atom, total magnetic moment 0.00 μB per cell.